No. 1
Here is a relaxed Cd4Cu crystal from the Alexandria database. Energies are from PBE-GGA.

The structure in POSCAR format:
```
Cd4Cu
1.0
6.7193 -3.2769 0.0000
6.7193 3.2769 0.0000
-1.7459 0.0000 4.7466
Cd Cu
8 2
Direct
0.0697 0.7605 0.9231
0.1609 0.4774 0.3339
0.2395 0.9303 0.5769
0.4774 0.1609 0.8339
0.5226 0.8391 0.1661
0.7605 0.0697 0.4231
0.8391 0.5226 0.6661
0.9303 0.2395 0.0769
0.4987 0.5013 0.2500
0.5013 0.4987 0.7500
```

---

No. 2
Here is a relaxed CdCu5 crystal from the Alexandria database. Energies are from PBE-GGA.

The structure in POSCAR format:
```
CdCu5
1.0
2.9988 0.0000 0.0000
0.0000 2.9988 0.0000
0.0000 0.0000 8.9551
Cd Cu
1 5
Direct
0.0000 0.0000 0.0000
0.0000 0.0000 0.3499
0.0000 0.0000 0.6501
0.5000 0.5000 0.2018
0.5000 0.5000 0.5000
0.5000 0.5000 0.7982
```

---

No. 3
Here is a relaxed CdCu2 crystal from the Alexandria database. Energies are from PBE-GGA.

The structure in POSCAR format:
```
CdCu2
1.0
5.0845 0.0000 0.0000
-2.5422 4.4033 0.0000
0.0000 0.0000 16.0329
Cd Cu
8 16
Direct
0.0000 0.0000 0.0949
0.0000 0.0000 0.4051
0.0000 0.0000 0.5949
0.0000 0.0000 0.9051
0.3333 0.6667 0.1547
0.3333 0.6667 0.3453
0.6667 0.3333 0.6547
0.6667 0.3333 0.8453
0.0000 0.5000 0.0000
0.0000 0.5000 0.5000
0.1645 0.3291 0.7500
0.1645 0.8355 0.7500
0.3291 0.1645 0.2500
0.3333 0.6667 0.6254
0.3333 0.6667 0.8746
0.5000 0.0000 0.0000
0.5000 0.0000 0.5000
0.5000 0.5000 0.0000
0.5000 0.5000 0.5000
0.6667 0.3333 0.1254
0.6667 0.3333 0.3746
0.6709 0.8355 0.7500
0.8355 0.1645 0.2500
0.8355 0.6709 0.2500
```

---

No. 4
Here is a relaxed Cd4Cu crystal from the Alexandria database. Energies are from PBE-GGA.

The structure in POSCAR format:
```
Cd4Cu
1.0
-3.3835 3.3835 2.1826
3.3835 -3.3835 2.1826
3.3835 3.3835 -2.1826
Cd Cu
4 1
Direct
0.1062 0.2938 0.3999
0.2938 0.8938 0.1876
0.7062 0.1062 0.8124
0.8938 0.7062 0.6001
0.5000 0.5000 0.0000
```

---

Result set for ΔH_f (0 K): 0.0340 0.0517 0.0036 0.0963 eV per atom, one per record in the order listed.
Result set for DOS at the Fermi energy: 1.18 1.97 0.60 1.90 states/eV/f.u., one per record in the order listed.